(1)
# Ce3P2 (PBE-GGA, optimized geometry)
data_Ce3P2
_space_group_name_H-M_alt 'R -3 c'
_space_group_IT_number 167
_space_group_name_Hall '-R 3 2"c'
_cell_length_a 6.9671
_cell_length_b 6.9671
_cell_length_c 20.1238
_cell_angle_alpha 90.00
_cell_angle_beta 90.00
_cell_angle_gamma 120.00
loop_
_atom_site_label
_atom_site_type_symbol
_atom_site_fract_x
_atom_site_fract_y
_atom_site_fract_z
Ce1 Ce 0.0000 0.3241 0.2500
P1 P 0.0000 0.0000 0.1617
# E_form in eV per formula unit: -5.05
# Theoretical density in g cm⁻³: 5.68
# Magnetic moment in μB per formula unit: 4.0

---

(2)
# CeP (PBE-GGA, optimized geometry)
data_CeP
_space_group_name_H-M_alt 'F m -3 m'
_space_group_IT_number 225
_space_group_name_Hall '-F 4 2 3'
_cell_length_a 5.7859
_cell_length_b 5.7859
_cell_length_c 5.7859
_cell_angle_alpha 90.00
_cell_angle_beta 90.00
_cell_angle_gamma 90.00
loop_
_atom_site_label
_atom_site_type_symbol
_atom_site_fract_x
_atom_site_fract_y
_atom_site_fract_z
Ce1 Ce 0.0000 0.0000 0.0000
P1 P 0.0000 0.0000 0.5000
# E_form in eV per formula unit: -2.99
# Theoretical density in g cm⁻³: 5.87
# Magnetic moment in μB per formula unit: 0.6

---

(3)
# Ce5P (PBE-GGA, optimized geometry)
data_Ce5P
_space_group_name_H-M_alt 'C m m m'
_space_group_IT_number 65
_space_group_name_Hall '-C 2 2'
_cell_length_a 4.3965
_cell_length_b 13.9607
_cell_length_c 4.5153
_cell_angle_alpha 90.00
_cell_angle_beta 90.00
_cell_angle_gamma 90.00
loop_
_atom_site_label
_atom_site_type_symbol
_atom_site_fract_x
_atom_site_fract_y
_atom_site_fract_z
Ce1 Ce 0.0000 0.0000 0.0000
Ce2 Ce 0.0000 0.1658 0.5000
Ce3 Ce 0.0000 0.3473 0.0000
P1 P 0.0000 0.5000 0.5000
# E_form in eV per formula unit: -1.91
# Theoretical density in g cm⁻³: 8.77
# Magnetic moment in μB per formula unit: 0.0

---

(4)
# CeP2 (PBE-GGA, optimized geometry)
data_CeP2
_space_group_name_H-M_alt 'I 4/m m m'
_space_group_IT_number 139
_space_group_name_Hall '-I 4 2'
_cell_length_a 3.9475
_cell_length_b 3.9475
_cell_length_c 8.0299
_cell_angle_alpha 90.00
_cell_angle_beta 90.00
_cell_angle_gamma 90.00
loop_
_atom_site_label
_atom_site_type_symbol
_atom_site_fract_x
_atom_site_fract_y
_atom_site_fract_z
Ce1 Ce 0.0000 0.0000 0.0000
P1 P 0.0000 0.0000 0.3687
# E_form in eV per formula unit: -2.77
# Theoretical density in g cm⁻³: 5.36
# Magnetic moment in μB per formula unit: 0.0